(1)
# Dy3Mg3Sc2

Crystalline Dy3Mg3Sc2 at its relaxed geometry (PBE, the Alexandria database).

Cell lengths 3.6351, 5.3518, 21.7887 Å; angles 90.00, 90.00, 90.00 degrees
Space group Immm (No. 71)
Inequivalent atoms, fractional coordinates:
Dy (0.0000, 0.0000, 0.0000) x2
Dy (0.0000, 0.5000, 0.1294) x4
Mg (0.0000, 0.0000, 0.5000) x2
Mg (0.0000, 0.5000, 0.3776) x4
Sc (0.0000, 0.0000, 0.2369) x4

Summary:
Formation enthalpy at 0 K in eV per atom: -0.036
Fermi-level density of states in states/eV/f.u.: 12.34

(2)
# DyMg2Sc4

Crystalline DyMg2Sc4 at its relaxed geometry (PBE, the Alexandria database).

Cell lengths 4.8544, 22.3903, 3.2350 Å; angles 90.00, 90.00, 90.00 degrees
Space group Cmmm (No. 65)
Inequivalent atoms, fractional coordinates:
Dy (0.0000, 0.0000, 0.0000) x2
Mg (0.0000, 0.2864, 0.5000) x4
Sc (0.0000, 0.1499, 0.0000) x4
Sc (0.0000, 0.4248, 0.5000) x4

Summary:
Formation enthalpy at 0 K in eV per atom: 0.034
Fermi-level density of states in states/eV/f.u.: 10.00
Excess energy over the best structure of this formula in the dataset in meV/atom: 0.0

(3)
# Dy3MgSc

Crystalline Dy3MgSc at its relaxed geometry (PBE, the Alexandria database).

Cell lengths 21.8514, 3.4170, 8.2300 Å; angles 90.00, 108.48, 90.00 degrees
Space group C2/m (No. 12)
Inequivalent atoms, fractional coordinates:
Dy (0.0171, 0.0000, 0.2196) x4
Dy (0.1242, 0.5000, 0.0418) x4
Dy (0.1785, 0.0000, 0.4414) x4
Mg (0.0778, 0.5000, 0.6009) x4
Sc (0.2334, 0.5000, 0.8225) x4

Summary:
Formation enthalpy at 0 K in eV per atom: 0.069
Fermi-level density of states in states/eV/f.u.: 8.70
Excess energy over the best structure of this formula in the dataset in meV/atom: 49.6

(4)
# Dy2Mg2Sc3

Crystalline Dy2Mg2Sc3 at its relaxed geometry (PBE, the Alexandria database).

Cell lengths 9.1329, 5.2799, 8.0904 Å; angles 90.00, 112.21, 90.00 degrees
Space group C2/m (No. 12)
Inequivalent atoms, fractional coordinates:
Dy (0.2161, 0.0000, 0.1490) x4
Mg (0.0669, 0.0000, 0.6998) x4
Sc (0.0000, 0.5000, 0.0000) x2
Sc (0.1382, 0.5000, 0.4148) x4

Summary:
Formation enthalpy at 0 K in eV per atom: 0.063
Fermi-level density of states in states/eV/f.u.: 8.97

(5)
# Dy2MgSc7

Crystalline Dy2MgSc7 at its relaxed geometry (PBE, the Alexandria database).

Cell lengths 6.0163, 26.8847, 3.2277 Å; angles 90.00, 90.00, 90.00 degrees
Space group Cmmm (No. 65)
Inequivalent atoms, fractional coordinates:
Dy (0.0000, 0.2095, 0.0000) x4
Mg (0.0000, 0.5000, 0.5000) x2
Sc (0.0000, 0.0000, 0.0000) x2
Sc (0.0000, 0.3190, 0.5000) x4
Sc (0.2472, 0.4042, 0.0000) x8

Summary:
Formation enthalpy at 0 K in eV per atom: 0.159
Fermi-level density of states in states/eV/f.u.: 15.68

(6)
# DyMg6Sc5

Crystalline DyMg6Sc5 at its relaxed geometry (PBE, the Alexandria database).

Cell lengths 8.8859, 15.3849, 5.1297 Å; angles 90.00, 125.19, 90.00 degrees
Space group C2/m (No. 12)
Inequivalent atoms, fractional coordinates:
Dy (0.0000, 0.0000, 0.0000) x2
Mg (0.2390, 0.5000, 0.2392) x4
Mg (0.2445, 0.3300, 0.7443) x8
Sc (0.0000, 0.1640, 0.5000) x4
Sc (0.0000, 0.3332, 0.0000) x4
Sc (0.0000, 0.5000, 0.5000) x2

Summary:
Formation enthalpy at 0 K in eV per atom: -0.041
Fermi-level density of states in states/eV/f.u.: 16.57

Repeat the first record exactly.
# Dy3Mg3Sc2

Crystalline Dy3Mg3Sc2 at its relaxed geometry (PBE, the Alexandria database).

Cell lengths 3.6351, 5.3518, 21.7887 Å; angles 90.00, 90.00, 90.00 degrees
Space group Immm (No. 71)
Inequivalent atoms, fractional coordinates:
Dy (0.0000, 0.0000, 0.0000) x2
Dy (0.0000, 0.5000, 0.1294) x4
Mg (0.0000, 0.0000, 0.5000) x2
Mg (0.0000, 0.5000, 0.3776) x4
Sc (0.0000, 0.0000, 0.2369) x4

Summary:
Formation enthalpy at 0 K in eV per atom: -0.036
Fermi-level density of states in states/eV/f.u.: 12.34

> Look up the Fermi-level density of states of the third one.

8.70 states/eV/f.u.